Entry from the Alexandria database: a relaxed Ca2CoCBr crystal (PBE).

Cell and atoms, written as POSCAR:
```
Ca2CoCBr
1.0
-5.097 -0.634 0.908
0.764 -5.108 0.727
0.557 0.587 3.538
C Co Br Ca
1 1 1 2
direct
0.000 0.000 0.000
0.000 0.000 0.500
0.500 0.500 0.500
0.500 0.000 0.000
0.000 0.500 0.000
```

Calculated values
Space group: P4/mmm (123)
DOS(E_F) in states/eV/atom: 0.292
E_form (uncorrected) in eV per formula unit: -2.67